<w>
The following is a DFT calculation (SCAN) of AlPbAu2 at its PBEsol-relaxed geometry.

abc: 3.2261 3.7515 6.6119
angles: 90.00 90.00 90.00
Closest atoms and distances in Å follow each position.
Element x y z (fractional)
Pb 0.0000 0.0000 0.4889  5 Au 3.06-3.19, 2 Pb 3.23, 4 Al 3.31
Au 0.0000 0.0000 0.9707  4 Al 2.66, 4 Au 2.96
Au 0.5000 0.5000 0.2177  1 Al 2.61
Al 0.5000 0.5000 0.8227  5 Au 2.61-2.66

Summary:
- space group = Pmm2, No. 25
- crystal system = orthorhombic
- M_tot (μB/cell) = 0.0
- theoretical density (g/cm³) = 13.03

=====

<x>
The following is a DFT calculation (SCAN) of AlPbAu2 at its PBEsol-relaxed geometry.

abc: 4.2689 4.2689 5.8690
angles: 68.67 68.67 60.00
Closest atoms and distances in Å follow each position.
Element x y z (fractional)
Pb 0.5000 0.5000 0.5000  6 Au 3.08
Au 0.2824 0.2824 0.1527  3 Al 2.60
Au 0.7176 0.7176 0.8473  3 Al 2.60
Al 0.0000 0.0000 0.0000  6 Au 2.60

Summary:
- space group = R-3m, No. 166
- crystal system = trigonal
- M_tot (μB/cell) = 0.0
- theoretical density (g/cm³) = 12.41

=====

Verdict on stability: <w> comes out at the bottom.

=====

<w>
The following is a DFT calculation (SCAN) of AlSbAu2 at its PBEsol-relaxed geometry.

abc: 4.2549 5.3777 4.8690
angles: 123.52 115.91 90.00
Closest atoms and distances in Å follow each position.
Element x y z (fractional)
Sb 0.0000 0.5000 0.0000  8 Au 2.90-3.07
Au 0.7850 0.7850 0.5700  2 Al 2.60, 2 Sb 2.90
Au 0.2150 0.2150 0.4300  2 Al 2.60, 2 Sb 2.90
Al 0.5000 0.0000 0.0000  4 Au 2.60

Summary:
- space group = Immm, No. 71
- crystal system = orthorhombic
- M_tot (μB/cell) = 0.0
- theoretical density (g/cm³) = 11.39

=====

<x>
The following is a DFT calculation (SCAN) of AlSbAu2 at its PBEsol-relaxed geometry.

abc: 3.2766 3.2766 8.4797
angles: 78.86 78.86 60.00
Closest atoms and distances in Å follow each position.
Element x y z (fractional)
Sb 0.5000 0.5000 0.5000  6 Au 3.01, 6 Sb 3.28
Au 0.2612 0.2612 0.2164  3 Al 2.60
Au 0.7388 0.7388 0.7836  3 Al 2.60
Al 0.0000 0.0000 0.0000  6 Au 2.60

Summary:
- space group = R-3m, No. 166
- crystal system = trigonal
- M_tot (μB/cell) = 0.0
- theoretical density (g/cm³) = 11.72

=====

<y>
The following is a DFT calculation (SCAN) of AlSbAu2 at its PBEsol-relaxed geometry.

abc: 4.2390 4.4000 4.4000
angles: 98.48 90.00 90.00
Closest atoms and distances in Å follow each position.
Element x y z (fractional)
Sb 0.5000 0.5000 0.5000  4 Au 2.83, 2 Al 2.87
Au 0.0000 0.7824 0.2176  2 Al 2.57, 2 Sb 2.83
Au 0.0000 0.2176 0.7824  2 Al 2.57, 2 Sb 2.83
Al 0.5000 0.0000 0.0000  4 Au 2.57, 2 Sb 2.87

Summary:
- space group = Cmmm, No. 65
- crystal system = orthorhombic
- M_tot (μB/cell) = 0.0
- theoretical density (g/cm³) = 11.10

=====

<z>
The following is a DFT calculation (SCAN) of AlSbAu2 at its PBEsol-relaxed geometry.

abc: 3.3599 4.3308 5.9556
angles: 102.44 90.00 112.82
Closest atoms and distances in Å follow each position.
Element x y z (fractional)
Sb 0.5000 0.0000 0.0000  6 Au 2.87-2.93
Au 0.7381 0.4762 0.7052  3 Al 2.62-2.66, 3 Sb 2.87-2.93
Au 0.2619 0.5238 0.2948  3 Al 2.62-2.66, 3 Sb 2.87-2.93
Al 0.0000 0.0000 0.5000  6 Au 2.62-2.66

Summary:
- space group = C2/m, No. 12
- crystal system = monoclinic
- M_tot (μB/cell) = 0.0
- theoretical density (g/cm³) = 11.60

=====

Verdict on stability: <w> comes out at the bottom.

=====

<w>
The following is a DFT calculation (SCAN) of AlSiAu2 at its PBEsol-relaxed geometry.

abc: 2.7703 3.5931 6.5457
angles: 90.00 90.00 90.00
Closest atoms and distances in Å follow each position.
Element x y z (fractional)
Si 0.5000 0.5000 0.0000  2 Si 2.77, 8 Au 2.83
Au 0.0000 0.0000 0.7414  4 Al 2.76, 2 Au 2.77, 4 Si 2.83
Au 0.0000 0.0000 0.2586  4 Al 2.76, 2 Au 2.77, 4 Si 2.83
Al 0.5000 0.5000 0.5000  8 Au 2.76, 2 Al 2.77

Summary:
- space group = Pmmm, No. 47
- crystal system = orthorhombic
- M_tot (μB/cell) = 0.0
- theoretical density (g/cm³) = 11.44

=====

<x>
The following is a DFT calculation (SCAN) of AlSiAu2 at its PBEsol-relaxed geometry.

abc: 3.1474 4.3241 5.2845
angles: 101.78 90.00 111.34
Closest atoms and distances in Å follow each position.
Element x y z (fractional)
Si 0.5000 0.0000 0.0000  6 Au 2.62-2.67
Au 0.7486 0.4972 0.7518  3 Si 2.62-2.67, 3 Al 2.66
Au 0.2514 0.5028 0.2482  3 Si 2.62-2.67, 3 Al 2.66
Al 0.0000 0.0000 0.5000  6 Au 2.66

Summary:
- space group = C2/m, No. 12
- crystal system = monoclinic
- M_tot (μB/cell) = 0.0
- theoretical density (g/cm³) = 11.41

=====

Verdict on stability: <w> comes out at the bottom.

=====

<w>
The following is a DFT calculation (SCAN) of AlSnAu3 at its PBEsol-relaxed geometry.

abc: 4.7931 4.7931 4.7931
angles: 90.00 90.00 90.00
Closest atoms and distances in Å follow each position.
Element x y z (fractional)
Au 0.0000 0.5000 0.0000  2 Al 2.40
Au 0.0000 0.0000 0.5000  2 Al 2.40
Au 0.5000 0.0000 0.0000  2 Al 2.40
Sn 0.5000 0.5000 0.5000  12 Au 3.39
Al 0.0000 0.0000 0.0000  6 Au 2.40

Summary:
- space group = Pm-3m, No. 221
- crystal system = cubic
- M_tot (μB/cell) = 0.0
- theoretical density (g/cm³) = 11.11

=====

<x>
The following is a DFT calculation (SCAN) of AlSnAu3 at its PBEsol-relaxed geometry.

abc: 5.1068 5.1068 5.1068
angles: 90.00 90.00 90.00
Closest atoms and distances in Å follow each position.
Element x y z (fractional)
Au 0.0000 0.5000 0.0000  2 Sn 2.55
Au 0.0000 0.0000 0.5000  2 Sn 2.55
Au 0.5000 0.0000 0.0000  2 Sn 2.55
Sn 0.0000 0.0000 0.0000  6 Au 2.55
Al 0.5000 0.5000 0.5000  12 Au 3.61

Summary:
- space group = Pm-3m, No. 221
- crystal system = cubic
- M_tot (μB/cell) = 0.0
- theoretical density (g/cm³) = 9.18

=====

Verdict on stability: <x> comes out at the bottom.